(1)
The following is a PBE calculation of crystalline Ti4BeCo3 at its relaxed geometry, from the Alexandria database.

Geometry as extended XYZ:
```
8
Lattice="2.9837 0.0000 0.0000 0.0000 4.1874 0.0000 0.0000 0.0000 8.3970" Properties=species:S:1:pos:R:3 pbc="T T T"
Ti 0.0000 2.0937 2.0900
Ti 0.0000 0.0000 0.0000
Ti 0.0000 2.0937 6.3070
Ti 0.0000 0.0000 4.1985
Co 1.4919 2.0937 4.1985
Co 1.4919 0.0000 2.0476
Co 1.4919 0.0000 6.3494
Be 1.4919 2.0937 0.0000
```

Summary:
- Formation energy: -2.55 eV/f.u.
- Density: 6.0 g cm⁻³
- Size of the total moment: 0.30 μB/atom

(2)
The following is a PBE calculation of crystalline Ti4Be2Co at its relaxed geometry, from the Alexandria database.

Geometry as extended XYZ:
```
7
Lattice="-1.0036 -4.0456 -1.5193 4.0091 -0.2893 -1.8778 3.6349 -4.5434 3.2197" Properties=species:S:1:pos:R:3 pbc="T T T"
Ti -0.5018 -2.0228 -0.7597
Ti 2.8034 -3.6168 1.3017
Ti 3.8370 -5.2615 -1.4791
Ti 2.0046 -0.1447 -0.9389
Be 4.7070 -6.2310 0.5277
Be 1.9334 -2.6474 -0.7051
Co 0.0000 0.0000 0.0000
```

Summary:
- Formation energy: 3.20 eV/f.u.
- Density: 3.9 g cm⁻³
- Size of the total moment: 0.00 μB/atom

(3)
The following is a PBE calculation of crystalline Ti4BeCo5 at its relaxed geometry, from the Alexandria database.

Geometry as extended XYZ:
```
10
Lattice="2.9256 0.0000 0.0000 0.0000 2.9256 0.0000 0.0000 0.0000 14.3946" Properties=species:S:1:pos:R:3 pbc="T T T"
Co 1.4628 1.4628 4.1376
Co 1.4628 1.4628 13.1722
Co 1.4628 1.4628 7.1973
Co 1.4628 1.4628 10.2571
Co 1.4628 1.4628 1.2224
Be 0.0000 0.0000 0.0000
Ti 0.0000 0.0000 8.7211
Ti 0.0000 0.0000 11.7737
Ti 0.0000 0.0000 2.6209
Ti 0.0000 0.0000 5.6735
```

Summary:
- Formation energy: -3.75 eV/f.u.
- Density: 6.7 g cm⁻³
- Size of the total moment: 0.21 μB/atom

(4)
The following is a PBE calculation of crystalline TiBe17Co at its relaxed geometry, from the Alexandria database.

Geometry as extended XYZ:
```
19
Lattice="-3.5112 4.1384 -0.7777 -0.2624 -0.3104 -5.4676 -4.5759 -3.0030 -0.3212" Properties=species:S:1:pos:R:3 pbc="T T T"
Be -4.6161 2.2700 -2.6813
Be -4.1194 1.6693 -6.0764
Be -4.5389 -1.1439 -5.8965
Be -2.2879 -1.4461 -0.2131
Be -5.1254 -1.1465 -2.4629
Be -0.8096 0.0800 -0.6367
Be -6.7730 1.9155 -2.6714
Be -5.0737 2.9761 -4.6988
Be -3.0618 0.1416 -4.9250
Be -5.3259 0.6988 -1.4892
Be -7.0857 -0.1823 -2.5373
Be -1.7726 2.0101 -0.4341
Be -7.4929 0.7404 -5.8928
Be -0.2003 -0.1430 -2.7038
Be -3.6591 -1.5838 -3.8955
Be -5.8059 -1.9348 -4.3848
Be -3.1128 2.0803 -4.1297
Ti -2.8128 0.2779 -2.2122
Co -5.6452 0.5578 -4.4397
```

Summary:
- Formation energy: -2.49 eV/f.u.
- Density: 2.7 g cm⁻³
- Size of the total moment: 0.00 μB/atom